Record 1
! MnTlRe2 (GGA-PBE, optimized geometry); values from VASP
&SYSTEM
  ibrav = 0, nat = 4, ntyp = 3
/
ATOMIC_SPECIES
Mn 54.94 Mn.upf
Re 186.21 Re.upf
Tl 204.38 Tl.upf
CELL_PARAMETERS angstrom
-1.647 -4.377 2.276
2.637 -4.290 -1.301
0.501 4.737 2.088
ATOMIC_POSITIONS crystal
Mn 0.240 0.740 0.500
Re 0.001 0.001 0.000
Re 0.764 0.264 0.500
Tl 0.495 0.495 0.000
! * ΔE to the lowest computed polymorph: 294 meV per atom
! * energy of formation from the pure elements: 0.74 eV per atom

***

Record 2
! MnTl2Re (GGA-PBE, optimized geometry); values from VASP
&SYSTEM
  ibrav = 0, nat = 4, ntyp = 3
/
ATOMIC_SPECIES
Mn 54.94 Mn.upf
Re 186.21 Re.upf
Tl 204.38 Tl.upf
CELL_PARAMETERS angstrom
-4.718 2.094 -1.655
-2.521 -2.763 -3.923
2.224 -1.230 4.788
ATOMIC_POSITIONS crystal
Mn 0.500 0.500 0.000
Re 0.750 0.250 0.500
Tl 0.000 0.000 0.000
Tl 0.250 0.750 0.500
! * ΔE to the lowest computed polymorph: 439 meV per atom
! * energy of formation from the pure elements: 0.95 eV per atom

***

Record 3
! MnTlRe2 (GGA-PBE, optimized geometry); values from VASP
&SYSTEM
  ibrav = 0, nat = 4, ntyp = 3
/
ATOMIC_SPECIES
Mn 54.94 Mn.upf
Re 186.21 Re.upf
Tl 204.38 Tl.upf
CELL_PARAMETERS angstrom
3.894 0.000 0.000
0.000 2.923 0.018
0.000 2.936 5.860
ATOMIC_POSITIONS crystal
Mn 0.500 0.724 0.776
Re 0.000 0.967 0.010
Re 0.500 0.318 0.203
Tl 0.000 0.491 0.511
! * ΔE to the lowest computed polymorph: 94 meV per atom
! * energy of formation from the pure elements: 0.54 eV per atom

***

Record 4
! MnTlRe2 (GGA-PBE, optimized geometry); values from VASP
&SYSTEM
  ibrav = 0, nat = 4, ntyp = 3
/
ATOMIC_SPECIES
Mn 54.94 Mn.upf
Re 186.21 Re.upf
Tl 204.38 Tl.upf
CELL_PARAMETERS angstrom
9.345 0.011 0.007
8.889 2.885 0.007
8.889 1.412 2.516
ATOMIC_POSITIONS crystal
Mn 0.743 0.743 0.743
Re 0.000 0.000 0.000
Re 0.258 0.258 0.258
Tl 0.499 0.499 0.499
! * ΔE to the lowest computed polymorph: 93 meV per atom
! * energy of formation from the pure elements: 0.54 eV per atom

***

Record 5
! MnTlRe (GGA-PBE, optimized geometry); values from VASP
&SYSTEM
  ibrav = 0, nat = 3, ntyp = 3
/
ATOMIC_SPECIES
Mn 54.94 Mn.upf
Re 186.21 Re.upf
Tl 204.38 Tl.upf
CELL_PARAMETERS angstrom
-1.945 -6.428 2.816
-0.059 -7.010 0.693
1.154 -0.104 2.658
ATOMIC_POSITIONS crystal
Mn 0.986 0.986 0.014
Re 0.350 0.350 0.650
Tl 0.664 0.664 0.336
! * ΔE to the lowest computed polymorph: 116 meV per atom
! * energy of formation from the pure elements: 0.70 eV per atom

***

Record 6
! MnTlRe2 (GGA-PBE, optimized geometry); values from VASP
&SYSTEM
  ibrav = 0, nat = 4, ntyp = 3
/
ATOMIC_SPECIES
Mn 54.94 Mn.upf
Re 186.21 Re.upf
Tl 204.38 Tl.upf
CELL_PARAMETERS angstrom
9.400 -0.010 -0.006
8.976 2.789 -0.006
8.976 1.357 2.437
ATOMIC_POSITIONS crystal
Mn 0.750 0.750 0.750
Re 0.011 0.011 0.011
Re 0.489 0.489 0.489
Tl 0.250 0.250 0.250
! * ΔE to the lowest computed polymorph: 227 meV per atom
! * energy of formation from the pure elements: 0.67 eV per atom

***

- Number 5 is which compound?
  MnTlRe